i) NaPdBr2 | GGA-PBEsol | optimized geometry

Cell: 4.8970 4.8970 4.8970 Å, 60.00 60.00 60.00°
Fractional coordinates of all 4 atoms:
Na: 0.0000 0.0000 0.0000
Pd: 0.5000 0.5000 0.5000
Br: 0.2500 0.2500 0.2500
Br: 0.7500 0.7500 0.7500

Results
Space-group type: Fm-3m
Magnetic moment: 1.0 μB per cell

=====

ii) NaPdBr2 | GGA-PBEsol | optimized geometry

Cell: 8.1347 8.1347 8.1347 Å, 138.79 138.79 59.70°
Fractional coordinates of all 8 atoms:
Na: 0.0000 0.0000 0.0000
Na: 0.7500 0.2500 0.5000
Pd: 0.2500 0.7500 0.5000
Pd: 0.5000 0.5000 0.0000
Br: 0.1736 0.6250 0.0486
Br: 0.3750 0.4236 0.5486
Br: 0.5764 0.1250 0.9514
Br: 0.8750 0.8264 0.4514

Results
Space-group type: I-42d
Magnetic moment: 1.8 μB per cell

=====

We find ii) to be the most stable, with the next structure 0.140 eV/atom higher.

=====

i) NaTiBr2 | GGA-PBEsol | optimized geometry

Cell: 10.0441 10.0441 10.0441 Å, 19.73 19.73 19.73°
Fractional coordinates of all 4 atoms:
Na: 0.0000 0.0000 0.0000
Ti: 0.5000 0.5000 0.5000
Br: 0.1094 0.1094 0.1094
Br: 0.8906 0.8906 0.8906

Results
Space-group type: R-3m
Magnetic moment: 0.1 μB per cell

=====

ii) NaTiBr2 | GGA-PBEsol | optimized geometry

Cell: 4.9265 4.9265 4.9265 Å, 60.00 60.00 60.00°
Fractional coordinates of all 4 atoms:
Na: 0.0000 0.0000 0.0000
Ti: 0.5000 0.5000 0.5000
Br: 0.2500 0.2500 0.2500
Br: 0.7500 0.7500 0.7500

Results
Space-group type: Fm-3m
Magnetic moment: 2.9 μB per cell

=====

We find i) to be the most stable, with the next structure 0.257 eV/atom higher.